The following is a PBE+U calculation of crystalline V2SnBiO8 at its relaxed geometry, from Alexandria via LeMat-Bulk.

The magnetization is 1.01 μB/cell. Its total energy is -6.759 eV per atom.

The space group is P-3m1 (No. 164) and the conventional cell measures 5.7936, 5.7936 and 6.5955 Å, with angles of 90.00, 90.00 and 120.00 degrees. The distinct sites, in fractional coordinates, are V at (0.3333, 0.6667, 0.2979), Sn at (0.0000, 0.0000, 0.0000), Bi at (0.0000, 0.0000, 0.5000), O at (0.1602, 0.3204, 0.2238) and O at (0.3333, 0.6667, 0.5477).